Here is crystalline NbCuPt2 at its relaxed geometry from the Open Quantum Materials Database. Energies are from PBE.

a = 6.278 Å, b = 6.278 Å, c = 6.278 Å
α = 90.00°, β = 90.00°, γ = 90.00°
Space group F-43m (No. 216)
One atom of each set of equivalent atoms:
Nb: 0.000 0.000 0.000
Cu: 0.250 0.250 0.250
Pt: 0.000 0.000 0.500
Pt: 0.250 0.250 0.750

**Calculated total energy**: -6.73 eV per atom
**Total magnetization**: 0.3 μB/cell
**Calculated formation energy**: -95 kJ/mol of formula units
**Mass density**: 14672 kg/m3

Here is crystalline NbCuPt2 at its relaxed geometry from the Open Quantum Materials Database. Energies are from PBE.

a = 4.594 Å, b = 5.532 Å, c = 4.782 Å
α = 90.00°, β = 90.00°, γ = 90.00°
Space group Pmmn (No. 59, origin choice 2)
One atom of each set of equivalent atoms:
Nb: 0.250 0.250 0.159
Cu: 0.250 0.750 0.177
Pt: 0.250 0.502 0.680

**Calculated total energy**: -7.02 eV per atom
**Total magnetization**: 0.0 μB/cell
**Calculated formation energy**: -209 kJ/mol of formula units
**Mass density**: 14937 kg/m3

Here is crystalline NbCuSbPt at its relaxed geometry from the Open Quantum Materials Database. Energies are from PBE.

a = 6.531 Å, b = 6.531 Å, c = 6.531 Å
α = 90.00°, β = 90.00°, γ = 90.00°
Space group F-43m (No. 216)
One atom of each set of equivalent atoms:
Nb: 0.000 0.000 0.000
Cu: 0.250 0.250 0.750
Sb: 0.000 0.000 0.500
Pt: 0.250 0.250 0.250

**Calculated total energy**: -5.92 eV per atom
**Distance to the lowest polymorph of the same formula**: 130 meV per atom
**Total magnetization**: 3.8 μB/cell
**Mass density**: 11285 kg/m3

Here is crystalline NbCuSbPt at its relaxed geometry from the Open Quantum Materials Database. Energies are from PBE.

a = 6.516 Å, b = 6.516 Å, c = 6.516 Å
α = 90.00°, β = 90.00°, γ = 90.00°
Space group F-43m (No. 216)
One atom of each set of equivalent atoms:
Nb: 0.000 0.000 0.000
Cu: 0.000 0.000 0.500
Sb: 0.250 0.250 0.250
Pt: 0.250 0.250 0.750

**Calculated total energy**: -6.05 eV per atom
**Distance to the lowest polymorph of the same formula**: 0 meV per atom
**Total magnetization**: 0.9 μB/cell
**Mass density**: 11363 kg/m3

- Look up the total magnetization of the first one.
  0.3 μB/cell